The following is a DFT calculation (PBE-GGA) of an optimized crystal structure of Al2CdBr.

abc: 8.8368 8.8368 8.8368
angles: 22.79 22.79 22.79
Closest atoms and distances in Å follow each position.
Atoms (fractional coordinates):
Al 0.5011 0.5011 0.5011  3 Cd 2.93, 3 Br 2.97
Al 0.9989 0.9989 0.9989  3 Cd 2.93, 3 Br 2.97
Br 0.7500 0.7500 0.7500  6 Al 2.97
Cd 0.2500 0.2500 0.2500  6 Al 2.93

Calculated values
Raw formation energy: 123 meV/atom
Excess energy over the best structure of this formula in the dataset: 0.30 eV per formula unit
Space-group type: R-3m (166)


The following is a DFT calculation (PBE-GGA) of an optimized crystal structure of Pu3Th2Au3.

abc: 4.6599 4.8520 9.3369
angles: 105.06 104.45 90.00
Closest atoms and distances in Å follow each position.
Atoms (fractional coordinates):
Pu 0.3871 0.3871 0.7742  6 Au 3.05-3.37, 2 Pu 3.12, 2 Th 3.13
Pu 0.6129 0.6129 0.2258  6 Au 3.05-3.37, 2 Pu 3.12, 2 Th 3.13
Pu 0.5000 0.0000 0.0000  4 Pu 3.12, 8 Au 3.16-3.36
Th 0.2329 0.7329 0.4659  4 Au 3.09-3.43, 2 Pu 3.13, 4 Th 3.42
Th 0.7671 0.2671 0.5341  4 Au 3.09-3.43, 2 Pu 3.13, 4 Th 3.42
Au 0.8771 0.8771 0.7541  4 Th 3.09-3.43, 6 Pu 3.16-3.37, 2 Au 3.24
Au 0.1229 0.1229 0.2459  4 Th 3.09-3.43, 6 Pu 3.16-3.37, 2 Au 3.24
Au 0.0000 0.5000 0.0000  8 Pu 3.05-3.36, 4 Au 3.24

Calculated values
Space-group type: Immm (71)
Energy of formation: -1.9 eV/f.u.


The following is a DFT calculation (PBE-GGA) of an optimized crystal structure of NiSb2OsPb.

abc: 4.9306 4.8223 4.9306
angles: 90.00 90.00 90.00
Closest atoms and distances in Å follow each position.
Atoms (fractional coordinates):
Ni 0.0000 0.0000 0.0000  2 Os 2.41, 4 Sb 2.47
Os 0.0000 0.5000 0.0000  2 Ni 2.41
Sb 0.0000 0.0000 0.5000  2 Ni 2.47
Sb 0.5000 0.0000 0.0000  2 Ni 2.47
Pb 0.5000 0.5000 0.5000  8 Sb 3.45, 4 Os 3.49

Calculated values
Raw formation energy: 880 meV/atom
Space-group type: P4/mmm (123)


The following is a DFT calculation (PBE-GGA) of an optimized crystal structure of Tm11Ag9Au4.

abc: 3.5846 12.8837 12.8837
angles: 113.09 90.00 90.00
Closest atoms and distances in Å follow each position.
Atoms (fractional coordinates):
Ag 0.5000 0.5000 0.5000  4 Au 2.93
Ag 0.5000 0.7929 0.9487  8 Tm 3.06-3.21, 1 Au 3.21, 1 Ag 3.35
Ag 0.5000 0.2071 0.0513  8 Tm 3.06-3.21, 1 Au 3.21, 1 Ag 3.35
Ag 0.5000 0.1450 0.6309  8 Tm 3.08-3.17, 1 Ag 3.18, 1 Au 3.20
Ag 0.5000 0.9487 0.7929  8 Tm 3.06-3.21, 1 Au 3.21, 1 Ag 3.35
Ag 0.5000 0.8550 0.3691  8 Tm 3.08-3.17, 1 Ag 3.18, 1 Au 3.20
Ag 0.5000 0.6309 0.1450  8 Tm 3.08-3.17, 1 Ag 3.18, 1 Au 3.20
Ag 0.5000 0.3691 0.8550  8 Tm 3.08-3.17, 1 Ag 3.18, 1 Au 3.20
Ag 0.5000 0.0513 0.2071  8 Tm 3.06-3.21, 1 Au 3.21, 1 Ag 3.35
Au 0.5000 0.7426 0.5507  6 Tm 2.88-2.96, 3 Ag 2.93-3.21
Au 0.5000 0.2574 0.4493  6 Tm 2.88-2.96, 3 Ag 2.93-3.21
Au 0.5000 0.5507 0.7426  6 Tm 2.88-2.96, 3 Ag 2.93-3.21
Au 0.5000 0.4493 0.2574  6 Tm 2.88-2.96, 3 Ag 2.93-3.21
Tm 0.0000 0.2731 0.2731  4 Au 2.96, 4 Ag 3.19
Tm 0.0000 0.3527 0.6473  4 Au 2.96, 4 Ag 3.16
Tm 0.0000 0.0000 0.0000  8 Ag 3.06
Tm 0.0000 0.4125 0.0715  2 Au 2.88, 6 Ag 3.12-3.17
Tm 0.0000 0.1673 0.8327  8 Ag 3.08-3.21, 2 Tm 3.44
Tm 0.0000 0.9285 0.5875  2 Au 2.88, 6 Ag 3.12-3.17
Tm 0.0000 0.8327 0.1673  8 Ag 3.08-3.21, 2 Tm 3.44
Tm 0.0000 0.5875 0.9285  2 Au 2.88, 6 Ag 3.12-3.17
Tm 0.0000 0.6473 0.3527  4 Au 2.96, 4 Ag 3.16
Tm 0.0000 0.7269 0.7269  4 Au 2.96, 4 Ag 3.19
Tm 0.0000 0.0715 0.4125  2 Au 2.88, 6 Ag 3.12-3.17

Calculated values
Space-group type: Cmmm (65)
Energy of formation: -11.8 eV/f.u.


The calculation returns the following N(E_F) values, one per record and in order: 1.258; 22.608; 5.085; 13.503 states/eV per cell.